1.
# PBE Ba2Hg2P, optimized geometry
data_Ba2Hg2P
_cell_length_a 8.295
_cell_length_b 8.295
_cell_length_c 4.838
_cell_angle_alpha 90.00
_cell_angle_beta 90.00
_cell_angle_gamma 90.00
_space_group_name_H-M_alt 'P 4/m b m'
_space_group_IT_number 127
_space_group_name_Hall '-P 4 2ab'
loop_
_atom_site_label
_atom_site_type_symbol
_atom_site_fract_x
_atom_site_fract_y
_atom_site_fract_z
_atom_site_occupancy
Ba1 Ba 0.185 0.315 0.000 1
Hg1 Hg 0.124 0.624 0.500 1
P1 P 0.000 0.000 0.500 1
# ΔH_f (0 K) = -375 meV per atom
# density = 7.05 g/cm3
# magnetic moment = 0.00 Bohr magnetons per cell
# relative energy among the computed polymorphs = 17.7 kJ per mole of atoms

2.
# PBE Ca2AlMo, optimized geometry
data_Ca2AlMo
_cell_length_a 3.792
_cell_length_b 3.792
_cell_length_c 6.889
_cell_angle_alpha 90.00
_cell_angle_beta 90.00
_cell_angle_gamma 90.00
_space_group_name_H-M_alt 'P 4/m m m'
_space_group_IT_number 123
_space_group_name_Hall '-P 4 2'
loop_
_atom_site_label
_atom_site_type_symbol
_atom_site_fract_x
_atom_site_fract_y
_atom_site_fract_z
_atom_site_occupancy
Ca1 Ca 0.000 0.000 0.248 1
Al1 Al 0.500 0.500 0.500 1
Mo1 Mo 0.500 0.500 0.000 1
# ΔH_f (0 K) = 554 meV per atom
# density = 3.40 g/cm3
# magnetic moment = 3.08 Bohr magnetons per cell

3.
# PBE Sc2SbSe, optimized geometry
data_Sc2SbSe
_cell_length_a 7.145
_cell_length_b 7.294
_cell_length_c 3.463
_cell_angle_alpha 90.00
_cell_angle_beta 100.80
_cell_angle_gamma 90.00
_space_group_name_H-M_alt 'C 1 2/m 1'
_space_group_IT_number 12
loop_
_space_group_symop_operation_xyz
'x,y,z'
'-x,-y,-z'
'-x,y,-z'
'x,-y,z'
'x+1/2,y+1/2,z'
'-x+1/2,-y+1/2,-z'
'-x+1/2,y+1/2,-z'
'x+1/2,-y+1/2,z'
loop_
_atom_site_label
_atom_site_type_symbol
_atom_site_fract_x
_atom_site_fract_y
_atom_site_fract_z
_atom_site_occupancy
Sc1 Sc 0.250 0.250 0.000 1
Sb1 Sb 0.000 0.000 0.500 1
Se1 Se 0.000 0.500 0.500 1
# density = 5.44 g/cm3
# magnetic moment = 0.06 Bohr magnetons per cell
# relative energy among the computed polymorphs = 31.3 kJ per mole of atoms
# raw formation energy = -0.939 eV per atom

4.
# PBE Cd4CuSi, optimized geometry
data_Cd4CuSi
_cell_length_a 8.013
_cell_length_b 8.013
_cell_length_c 8.013
_cell_angle_alpha 90.00
_cell_angle_beta 90.00
_cell_angle_gamma 90.00
_space_group_name_H-M_alt 'F -4 3 m'
_space_group_IT_number 216
_space_group_name_Hall 'F -4 2 3'
loop_
_atom_site_label
_atom_site_type_symbol
_atom_site_fract_x
_atom_site_fract_y
_atom_site_fract_z
_atom_site_occupancy
Cd1 Cd 0.125 0.125 0.125 1
Cu1 Cu 0.250 0.250 0.750 1
Si1 Si 0.000 0.000 0.500 1
# density = 6.99 g/cm3
# magnetic moment = 0.00 Bohr magnetons per cell
# raw formation energy = 0.466 eV per atom

5.
# PBE ScTlAg2, optimized geometry
data_ScTlAg2
_cell_length_a 9.912
_cell_length_b 3.276
_cell_length_c 5.251
_cell_angle_alpha 90.00
_cell_angle_beta 99.50
_cell_angle_gamma 90.00
_space_group_name_H-M_alt 'C 1 2/m 1'
_space_group_IT_number 12
loop_
_space_group_symop_operation_xyz
'x,y,z'
'-x,-y,-z'
'-x,y,-z'
'x,-y,z'
'x+1/2,y+1/2,z'
'-x+1/2,-y+1/2,-z'
'-x+1/2,y+1/2,-z'
'x+1/2,-y+1/2,z'
loop_
_atom_site_label
_atom_site_type_symbol
_atom_site_fract_x
_atom_site_fract_y
_atom_site_fract_z
_atom_site_occupancy
Sc1 Sc 0.000 0.000 0.000 1
Tl1 Tl 0.000 0.500 0.500 1
Ag1 Ag 0.244 0.500 0.231 1
# ΔH_f (0 K) = -84 meV per atom
# density = 9.19 g/cm3
# magnetic moment = 0.00 Bohr magnetons per cell

6.
# PBE CaMn2P, optimized geometry
data_CaMn2P
_cell_length_a 3.171
_cell_length_b 4.817
_cell_length_c 9.461
_cell_angle_alpha 90.00
_cell_angle_beta 90.00
_cell_angle_gamma 90.00
_space_group_name_H-M_alt 'I m m m'
_space_group_IT_number 71
_space_group_name_Hall '-I 2 2'
loop_
_atom_site_label
_atom_site_type_symbol
_atom_site_fract_x
_atom_site_fract_y
_atom_site_fract_z
_atom_site_occupancy
Ca1 Ca 0.000 0.000 0.000 1
Mn1 Mn 0.000 0.500 0.198 1
P1 P 0.000 0.000 0.500 1
# ΔH_f (0 K) = 21 meV per atom
# density = 4.16 g/cm3
# magnetic moment = 13.95 Bohr magnetons per cell